(1)
## AsPd3C (PBE)

Data for a geometry-optimized AsPd3C structure.

The structure in extended XYZ format:
```
10
Lattice="1.546 -5.803 0.000 1.546 5.803 0.000 0.000 0.000 8.053" Properties=species:S:1:pos:R:3 pbc="T T T"
Pd 1.546 4.344 4.324
Pd 1.546 -0.507 2.013
Pd 1.546 0.507 6.040
Pd 1.546 -4.344 0.298
Pd 1.546 4.344 7.755
Pd 1.546 -4.344 3.729
C 1.546 0.000 0.000
C 1.546 0.000 4.027
As 1.546 -2.923 6.040
As 1.546 2.923 2.013
```

## Properties
As for the volume: 144.54 Å³ per cell. The space group is Cmcm (63). Its energy is -5.634 eV per atom.

(2)
## SnAsPd4C2 (PBE)

Data for a geometry-optimized SnAsPd4C2 structure.

The structure in extended XYZ format:
```
8
Lattice="-1.873 -2.514 -0.298 1.911 0.254 2.491 -10.232 6.774 7.159" Properties=species:S:1:pos:R:3 pbc="T T T"
C -3.066 0.033 2.349
C -8.389 3.558 6.073
Pd -7.986 5.049 7.603
Pd -0.946 0.388 2.678
Pd -3.257 2.156 2.279
Pd -6.974 4.617 4.880
Sn -4.466 2.718 5.140
As 0.000 0.000 0.000
```

## Properties
As for the volume: 122.03 Å³ per cell. The space group is P-6m2 (187). Its energy is -5.418 eV per atom.

(3)
## Pr3As4C2 (PBE)

Data for a geometry-optimized Pr3As4C2 structure.

The structure in extended XYZ format:
```
9
Lattice="7.182 0.000 0.000 0.000 4.220 0.000 -3.216 0.000 6.591" Properties=species:S:1:pos:R:3 pbc="T T T"
C 6.504 2.110 0.109
C 4.453 0.000 1.891
Pr -1.470 2.110 6.484
Pr -1.186 2.110 2.477
Pr 2.225 2.110 4.413
As 2.411 0.000 2.007
As -0.115 0.000 4.689
As 4.562 0.000 4.001
As 5.662 0.000 0.292
```

## Properties
As for the volume: 199.74 Å³ per cell. The space group is Pm (6). Its energy is -5.954 eV per atom.

(4)
## AsW4C2S (PBE)

Data for a geometry-optimized AsW4C2S structure.

The structure in extended XYZ format:
```
8
Lattice="3.247 0.000 0.000 -1.623 2.812 0.000 0.000 0.000 11.842" Properties=species:S:1:pos:R:3 pbc="T T T"
W 1.623 0.937 7.845
W 1.623 0.937 3.997
W 0.000 1.874 9.951
W 0.000 1.874 1.891
C 0.000 0.000 8.929
C 0.000 0.000 2.913
As 0.000 1.874 5.921
S 1.623 0.937 0.000
```

## Properties
As for the volume: 108.10 Å³ per cell. The space group is P-6m2 (187). Its energy is -9.682 eV per atom.

(5)
## Zr4AsC2S (PBE)

Data for a geometry-optimized Zr4AsC2S structure.

The structure in extended XYZ format:
```
8
Lattice="3.448 0.000 0.000 -1.724 2.986 0.000 0.000 0.000 12.516" Properties=species:S:1:pos:R:3 pbc="T T T"
S 0.000 1.991 0.000
C 1.724 0.995 9.454
C 1.724 0.995 3.062
Zr 0.000 1.991 8.198
Zr 0.000 0.000 10.690
Zr 0.000 1.991 4.318
Zr 0.000 0.000 1.826
As 0.000 0.000 6.258
```

## Properties
As for the volume: 128.85 Å³ per cell. The space group is P-6m2 (187). Its energy is -8.831 eV per atom.

(6)
## Zr4AsC2S (PBE)

Data for a geometry-optimized Zr4AsC2S structure.

The structure in extended XYZ format:
```
8
Lattice="3.448 0.000 0.000 -1.724 2.986 0.000 0.000 0.000 12.516" Properties=species:S:1:pos:R:3 pbc="T T T"
Zr 1.724 0.995 10.575
Zr 0.000 0.000 8.084
Zr 1.724 0.995 1.940
Zr 0.000 0.000 4.432
As 0.000 0.000 0.000
C 0.000 1.991 3.196
C 0.000 1.991 9.320
S 1.724 0.995 6.258
```

## Properties
As for the volume: 128.85 Å³ per cell. The space group is P-6m2 (187). Its energy is -8.831 eV per atom.

Copy entry 1 word for word.
## AsPd3C (PBE)

Data for a geometry-optimized AsPd3C structure.

The structure in extended XYZ format:
```
10
Lattice="1.546 -5.803 0.000 1.546 5.803 0.000 0.000 0.000 8.053" Properties=species:S:1:pos:R:3 pbc="T T T"
Pd 1.546 4.344 4.324
Pd 1.546 -0.507 2.013
Pd 1.546 0.507 6.040
Pd 1.546 -4.344 0.298
Pd 1.546 4.344 7.755
Pd 1.546 -4.344 3.729
C 1.546 0.000 0.000
C 1.546 0.000 4.027
As 1.546 -2.923 6.040
As 1.546 2.923 2.013
```

## Properties
As for the volume: 144.54 Å³ per cell. The space group is Cmcm (63). Its energy is -5.634 eV per atom.